No. 1
The following is a PBE calculation of a relaxed structure of Be2Au2O5, from OQMD via LeMat-Bulk.

Values from the calculation:
Excess energy over the best structure of this formula in the dataset   0.00 kcal/mol of atoms
Crystal system   tetragonal
Calculated total energy   -4.96 eV per atom
Density   9.53 g cm⁻³

Cell and atoms, written as CIF:
```
data_Be2Au2O5
_chemical_formula_sum 'Be2 Au2 O5'
_symmetry_space_group_name_H-M 'P 1'
_symmetry_Int_Tables_number 1
_symmetry_space_group_name_Hall 'P 1'
_cell_length_a 3.477
_cell_length_b 3.477
_cell_length_c 7.092
_cell_angle_alpha 90.00
_cell_angle_beta 90.00
_cell_angle_gamma 90.00
loop_
_atom_site_label
_atom_site_type_symbol
_atom_site_fract_x
_atom_site_fract_y
_atom_site_fract_z
Be1 Be 0.000 0.000 0.234
Be2 Be 0.000 0.000 0.766
Au1 Au 0.500 0.500 0.000
Au2 Au 0.500 0.500 0.500
O1 O 0.000 0.000 0.000
O2 O 0.000 0.500 0.309
O3 O 0.000 0.500 0.691
O4 O 0.500 0.000 0.309
O5 O 0.500 0.000 0.691
```

***

No. 2
The following is a PBE calculation of a relaxed structure of BeOs2Au, from OQMD via LeMat-Bulk.

Values from the calculation:
Crystal system   cubic
Calculated total energy   -6.79 eV per atom
Density   17.03 g cm⁻³

Cell and atoms, written as CIF:
```
data_BeOs2Au
_chemical_formula_sum 'Be4 Os8 Au4'
_symmetry_space_group_name_H-M 'P 1'
_symmetry_Int_Tables_number 1
_symmetry_space_group_name_Hall 'P 1'
_cell_length_a 6.115
_cell_length_b 6.115
_cell_length_c 6.115
_cell_angle_alpha 90.00
_cell_angle_beta 90.00
_cell_angle_gamma 90.00
loop_
_atom_site_label
_atom_site_type_symbol
_atom_site_fract_x
_atom_site_fract_y
_atom_site_fract_z
Be1 Be 0.000 0.000 0.000
Be2 Be 0.000 0.500 0.500
Be3 Be 0.500 0.000 0.500
Be4 Be 0.500 0.500 0.000
Os1 Os 0.000 0.000 0.500
Os2 Os 0.000 0.500 0.000
Os3 Os 0.250 0.250 0.750
Os4 Os 0.250 0.750 0.250
Os5 Os 0.500 0.000 0.000
Os6 Os 0.500 0.500 0.500
Os7 Os 0.750 0.250 0.250
Os8 Os 0.750 0.750 0.750
Au1 Au 0.250 0.250 0.250
Au2 Au 0.250 0.750 0.750
Au3 Au 0.750 0.250 0.750
Au4 Au 0.750 0.750 0.250
```

***

No. 3
The following is a PBE calculation of a relaxed structure of Be2OsAu, from OQMD via LeMat-Bulk.

Values from the calculation:
Crystal system   cubic
Calculated total energy   -4.98 eV per atom
Density   12.78 g cm⁻³

Cell and atoms, written as CIF:
```
data_Be2OsAu
_chemical_formula_sum 'Be8 Os4 Au4'
_symmetry_space_group_name_H-M 'P 1'
_symmetry_Int_Tables_number 1
_symmetry_space_group_name_Hall 'P 1'
_cell_length_a 5.950
_cell_length_b 5.950
_cell_length_c 5.950
_cell_angle_alpha 90.00
_cell_angle_beta 90.00
_cell_angle_gamma 90.00
loop_
_atom_site_label
_atom_site_type_symbol
_atom_site_fract_x
_atom_site_fract_y
_atom_site_fract_z
Be1 Be 0.000 0.000 0.000
Be2 Be 0.000 0.500 0.500
Be3 Be 0.250 0.250 0.250
Be4 Be 0.250 0.750 0.750
Be5 Be 0.500 0.000 0.500
Be6 Be 0.500 0.500 0.000
Be7 Be 0.750 0.250 0.750
Be8 Be 0.750 0.750 0.250
Os1 Os 0.000 0.000 0.500
Os2 Os 0.000 0.500 0.000
Os3 Os 0.500 0.000 0.000
Os4 Os 0.500 0.500 0.500
Au1 Au 0.250 0.250 0.750
Au2 Au 0.250 0.750 0.250
Au3 Au 0.750 0.250 0.250
Au4 Au 0.750 0.750 0.750
```

***

No. 4
The following is a PBE calculation of a relaxed structure of BeTcOsAu, from OQMD via LeMat-Bulk.

Values from the calculation:
Excess energy over the best structure of this formula in the dataset   0.00 kcal/mol of atoms
Crystal system   cubic
Calculated total energy   -6.73 eV per atom
Density   14.35 g cm⁻³

Cell and atoms, written as CIF:
```
data_BeTcOsAu
_chemical_formula_sum 'Be4 Tc4 Os4 Au4'
_symmetry_space_group_name_H-M 'P 1'
_symmetry_Int_Tables_number 1
_symmetry_space_group_name_Hall 'P 1'
_cell_length_a 6.115
_cell_length_b 6.115
_cell_length_c 6.115
_cell_angle_alpha 90.00
_cell_angle_beta 90.00
_cell_angle_gamma 90.00
loop_
_atom_site_label
_atom_site_type_symbol
_atom_site_fract_x
_atom_site_fract_y
_atom_site_fract_z
Be1 Be 0.000 0.000 0.000
Be2 Be 0.000 0.500 0.500
Be3 Be 0.500 0.000 0.500
Be4 Be 0.500 0.500 0.000
Tc1 Tc 0.000 0.000 0.500
Tc2 Tc 0.000 0.500 0.000
Tc3 Tc 0.500 0.000 0.000
Tc4 Tc 0.500 0.500 0.500
Os1 Os 0.250 0.250 0.750
Os2 Os 0.250 0.750 0.250
Os3 Os 0.750 0.250 0.250
Os4 Os 0.750 0.750 0.750
Au1 Au 0.250 0.250 0.250
Au2 Au 0.250 0.750 0.750
Au3 Au 0.750 0.250 0.750
Au4 Au 0.750 0.750 0.250
```

***

No. 5
The following is a PBE calculation of a relaxed structure of BeTcOsAu, from OQMD via LeMat-Bulk.

Values from the calculation:
Excess energy over the best structure of this formula in the dataset   2.70 kcal/mol of atoms
Crystal system   cubic
Calculated total energy   -6.61 eV per atom
Density   14.61 g cm⁻³

Cell and atoms, written as CIF:
```
data_BeTcOsAu
_chemical_formula_sum 'Be4 Tc4 Os4 Au4'
_symmetry_space_group_name_H-M 'P 1'
_symmetry_Int_Tables_number 1
_symmetry_space_group_name_Hall 'P 1'
_cell_length_a 6.080
_cell_length_b 6.080
_cell_length_c 6.080
_cell_angle_alpha 90.00
_cell_angle_beta 90.00
_cell_angle_gamma 90.00
loop_
_atom_site_label
_atom_site_type_symbol
_atom_site_fract_x
_atom_site_fract_y
_atom_site_fract_z
Be1 Be 0.000 0.000 0.000
Be2 Be 0.000 0.500 0.500
Be3 Be 0.500 0.000 0.500
Be4 Be 0.500 0.500 0.000
Tc1 Tc 0.250 0.250 0.250
Tc2 Tc 0.250 0.750 0.750
Tc3 Tc 0.750 0.250 0.750
Tc4 Tc 0.750 0.750 0.250
Os1 Os 0.250 0.250 0.750
Os2 Os 0.250 0.750 0.250
Os3 Os 0.750 0.250 0.250
Os4 Os 0.750 0.750 0.750
Au1 Au 0.000 0.000 0.500
Au2 Au 0.000 0.500 0.000
Au3 Au 0.500 0.000 0.000
Au4 Au 0.500 0.500 0.500
```

***

No. 6
The following is a PBE calculation of a relaxed structure of PaBeAu, from OQMD via LeMat-Bulk.

Values from the calculation:
Excess energy over the best structure of this formula in the dataset   14.25 kcal/mol of atoms
Crystal system   cubic
Calculated total energy   -4.82 eV per atom
Density   10.13 g cm⁻³

Cell and atoms, written as CIF:
```
data_PaBeAu
_chemical_formula_sum 'Pa4 Be4 Au4'
_symmetry_space_group_name_H-M 'P 1'
_symmetry_Int_Tables_number 1
_symmetry_space_group_name_Hall 'P 1'
_cell_length_a 6.593
_cell_length_b 6.593
_cell_length_c 6.593
_cell_angle_alpha 90.00
_cell_angle_beta 90.00
_cell_angle_gamma 90.00
loop_
_atom_site_label
_atom_site_type_symbol
_atom_site_fract_x
_atom_site_fract_y
_atom_site_fract_z
Pa1 Pa 0.000 0.000 0.000
Pa2 Pa 0.000 0.500 0.500
Pa3 Pa 0.500 0.000 0.500
Pa4 Pa 0.500 0.500 0.000
Be1 Be 0.250 0.250 0.250
Be2 Be 0.250 0.750 0.750
Be3 Be 0.750 0.250 0.750
Be4 Be 0.750 0.750 0.250
Au1 Au 0.250 0.250 0.750
Au2 Au 0.250 0.750 0.250
Au3 Au 0.750 0.250 0.250
Au4 Au 0.750 0.750 0.750
```